{"formula": "CaMg3Au", "functional": "PBE", "state": "optimized geometry", "dos_at_fermi_per_ev_atom": 0.60, "sg": "P2_1/m", "polymorph_energy_ev_per_atom": 0.0000, "energy_ev_per_atom": -2.37, "formation_enthalpy_0k_ev_per_atom": -0.36, "cell": [[5.327, 0.000, -2.209], [0.000, 5.981, 0.000], [-0.175, 0.000, 7.681]], "species": ["Ca", "Mg", "Ca", "Mg", "Mg", "Mg", "Mg", "Mg", "Au", "Au"], "frac_coords": [[0.307, 0.448, 0.662], [0.865, 0.448, 0.173], [0.727, 0.948, 0.898], [0.307, 0.695, 0.078], [0.727, 0.700, 0.483], [0.727, 0.195, 0.483], [0.169, 0.948, 0.387], [0.307, 0.200, 0.078], [0.150, 0.948, 0.739], [0.884, 0.448, 0.821]]}

{"formula": "Ca3Mg2Au3", "functional": "PBE", "state": "optimized geometry", "dos_at_fermi_per_ev_atom": 0.66, "sg": "P6_3/mcm", "energy_ev_per_atom": -3.04, "formation_enthalpy_0k_ev_per_atom": -0.66, "cell": [[6.001, 0.000, 0.000], [0.000, 7.500, -4.330], [0.000, 0.000, 8.661]], "species": ["Ca", "Ca", "Au", "Mg", "Au", "Mg", "Ca", "Au", "Au", "Mg", "Au", "Ca", "Au", "Ca", "Mg", "Ca"], "frac_coords": [[0.250, 0.000, 0.733], [0.250, 0.267, 0.267], [0.250, 0.605, 0.605], [0.500, 0.333, 0.667], [0.250, 0.000, 0.395], [0.000, 0.667, 0.333], [0.250, 0.733, 0.000], [0.250, 0.395, 0.000], [0.750, 0.000, 0.605], [0.000, 0.333, 0.667], [0.750, 0.395, 0.395], [0.750, 0.000, 0.267], [0.750, 0.605, 0.000], [0.750, 0.733, 0.733], [0.500, 0.667, 0.333], [0.750, 0.267, 0.000]]}